No. 1
This record from Alexandria via LeMat-Bulk describes crystalline AgRuSCl2 at its relaxed geometry. The functional is PBE-GGA.

Cell and atoms, written as CIF:
```
data_AgRuSCl2
_chemical_formula_sum 'Ag1 Ru1 S1 Cl2'
_symmetry_space_group_name_H-M 'P 4/m m m'
_symmetry_Int_Tables_number 123
_symmetry_space_group_name_Hall '-P 4 2'
_cell_length_a 4.880
_cell_length_b 4.880
_cell_length_c 5.021
_cell_angle_alpha 90.00
_cell_angle_beta 90.00
_cell_angle_gamma 90.00
loop_
_atom_site_label
_atom_site_fract_x
_atom_site_fract_y
_atom_site_fract_z
Ag1 0.000 0.000 0.000
Ru1 0.500 0.500 0.500
S1 0.000 0.000 0.500
Cl1 0.000 0.500 0.000
```

Excess energy over the best structure of this formula in the dataset ... 825 meV/atom
V ... 23.9 Å³/atom
DOS at the Fermi energy ... 5.534 states/eV/f.u.
Crystal system ... tetragonal

***

No. 2
This record from Alexandria via LeMat-Bulk describes crystalline AgRuSCl2 at its relaxed geometry. The functional is PBE-GGA.

Cell and atoms, written as CIF:
```
data_AgRuSCl2
_chemical_formula_sum 'Ag1 Ru1 S1 Cl2'
_symmetry_space_group_name_H-M 'P 4/m m m'
_symmetry_Int_Tables_number 123
_symmetry_space_group_name_Hall '-P 4 2'
_cell_length_a 5.042
_cell_length_b 5.042
_cell_length_c 4.357
_cell_angle_alpha 90.00
_cell_angle_beta 90.00
_cell_angle_gamma 90.00
loop_
_atom_site_label
_atom_site_fract_x
_atom_site_fract_y
_atom_site_fract_z
Ag1 0.000 0.000 0.000
Ru1 0.500 0.500 0.500
S1 0.500 0.500 0.000
Cl1 0.000 0.500 0.500
```

Excess energy over the best structure of this formula in the dataset ... 0 meV/atom
V ... 22.2 Å³/atom
DOS at the Fermi energy ... 1.342 states/eV/f.u.
Crystal system ... tetragonal

***

Q: Which of these has the highest V?
A: number 1